1.
# LaNd4Tm3 | Alexandria via LeMat-Bulk | GGA-PBE | optimized geometry
# Volume   33.84 Å³ per atom
data_LaNd4Tm3
_space_group_name_H-M_alt 'P m n 21'
_space_group_IT_number 31
_space_group_name_Hall 'P 2ac -2'
_cell_length_a 11.624
_cell_length_b 7.355
_cell_length_c 6.333
_cell_angle_alpha 90.00
_cell_angle_beta 90.00
_cell_angle_gamma 90.00
loop_
_atom_site_label
_atom_site_type_symbol
_atom_site_fract_x
_atom_site_fract_y
_atom_site_fract_z
_atom_site_occupancy
La1 La 0.000 0.126 0.000 1
Nd1 Nd 0.000 0.371 0.510 1
Nd2 Nd 0.000 0.631 0.995 1
Nd3 Nd 0.244 0.626 0.338 1
Tm1 Tm 0.000 0.878 0.502 1
Tm2 Tm 0.249 0.120 0.336 1

2.
# ScIrPb2 | Alexandria via LeMat-Bulk | GGA-PBE | optimized geometry
# Volume   23.77 Å³ per atom
data_ScIrPb2
_space_group_name_H-M_alt 'P 4 m m'
_space_group_IT_number 99
_space_group_name_Hall 'P 4 -2'
_cell_length_a 3.355
_cell_length_b 3.355
_cell_length_c 8.449
_cell_angle_alpha 90.00
_cell_angle_beta 90.00
_cell_angle_gamma 90.00
loop_
_atom_site_label
_atom_site_type_symbol
_atom_site_fract_x
_atom_site_fract_y
_atom_site_fract_z
_atom_site_occupancy
Sc1 Sc 0.000 0.000 0.000 1
Ir1 Ir 0.500 0.500 0.155 1
Pb1 Pb 0.000 0.000 0.390 1
Pb2 Pb 0.500 0.500 0.727 1

In the order shown, the computed energy above the most stable polymorph in this dataset values come out to 0 1 meV/atom.
In the order shown, the computed total moment values come out to 0.0 0.0 μB per cell.
In the order shown, the computed ΔE_f values come out to 0.3 -1.1 eV per formula unit.